# 1
Mg3MnRh GGA-PBE relaxed; excess energy over the best structure of this formula in the dataset = 652 meV per atom
1.0
4.8070 0.0000 0.0000
0.0000 4.8070 0.0000
0.0000 0.0000 4.8070
Mg Mn Rh
3 1 1
direct
0.0000 0.5000 0.0000
0.0000 0.0000 0.5000
0.5000 0.0000 0.0000
0.0000 0.0000 0.0000
0.5000 0.5000 0.5000

---

# 2
This record from Alexandria describes InCu2Sb after structural relaxation. The functional is GGA-PBE.

Geometry as POSCAR:
```
InCu2Sb
1.0
3.9240 0.0000 0.0000
0.0000 3.1422 -0.6326
0.0000 1.2370 6.1611
Cu In Sb
2 1 1
direct
0.0000 0.7499 0.0482
0.0000 0.7501 0.4518
0.5000 0.2500 0.2500
0.5000 0.7500 0.7500
```

---

# 3
This record from Alexandria describes NaB11 after structural relaxation. The functional is GGA-PBE.

Geometry as POSCAR:
```
NaB11
1.0
-8.0154 0.3600 2.1874
-2.7920 -0.6404 5.6836
-3.5933 4.9236 1.8318
Na B
2 22
direct
0.5000 0.0000 0.0000
0.2500 0.5000 0.5000
0.4263 0.8419 0.4286
0.6967 0.1581 0.5714
0.0000 0.0000 0.0000
0.7500 0.5000 0.5000
0.3750 0.7500 0.7500
0.8750 0.7500 0.2500
0.8750 0.2500 0.7500
0.8750 0.2500 0.2500
0.4263 0.4286 0.8419
0.0181 0.6581 0.9286
0.6048 0.3419 0.0714
0.6967 0.5714 0.1581
0.7319 0.5714 0.8419
0.1452 0.4286 0.1581
0.0533 0.3419 0.9286
0.3237 0.6581 0.0714
0.3237 0.0714 0.6581
0.7319 0.8419 0.5714
0.1452 0.1581 0.4286
0.0533 0.9286 0.3419
0.0181 0.9286 0.6581
0.6048 0.0714 0.3419
```

---

no.,E (Ry per atom)
1,-0.2416
2,-0.2638
3,-0.4010